Entry 1:
Here is an optimized crystal structure of LiTaW from Alexandria. Energies are from GGA-PBE.

* formation energy from the elements: 0.3214 eV/atom
* volume: 101 Å³ per cell
* E above lowest polymorph: 0.49 eV per formula unit
* DOS at the Fermi energy: 0.830 states/eV per atom
* total DFT energy (no corrections): -8.59 eV/atom

Cell and atoms, written as POSCAR:
```
LiTaW
1.0
-2.4259 0.8173 0.8641
-1.6807 -4.2167 -0.7297
2.0070 -2.1206 7.6317
Ta Li W
2 2 2
Cartesian
-1.9350 -1.8477 0.6502 Ta
-0.3600 -1.2079 7.8093 Ta
-0.0769 -0.7936 4.7634 Li
-0.0316 -3.4286 5.4016 Li
-2.0991 -2.2486 3.3449 W
0.0652 -0.3777 2.0323 W
```

Entry 2:
Here is an optimized crystal structure of BeV3As from Alexandria. Energies are from GGA-PBE.

* formation energy from the elements: 0.4505 eV/atom
* volume: 69 Å³ per cell
* E above lowest polymorph: 0.00 eV per formula unit
* DOS at the Fermi energy: 1.156 states/eV per atom
* total DFT energy (no corrections): -6.70 eV/atom

Cell and atoms, written as POSCAR:
```
BeV3As
1.0
-2.3353 1.9854 -2.7121
-2.9682 -2.7677 0.5297
-1.5771 2.2691 3.0191
Be V As
1 3 1
Cartesian
0.0000 0.0000 0.0000 Be
-1.1677 0.9927 -1.3561 V
-1.4841 -1.3839 0.2649 V
-0.7885 1.1346 1.5095 V
-3.4403 0.7434 0.4183 As
```

What is the formula in the first record?
LiTaW

The highest DOS at the Fermi energy belongs to which entry?
BeV3As

Among the records above, which one has the lowest volume?
BeV3As

Among the records above, which one has the highest DOS at the Fermi energy?
BeV3As